La2InO2 | Alexandria via LeMat-Bulk | PBEsol | optimized geometry; formation energy from raw total energies = -2.4382 eV per atom; symmetry = I4/mmm, No. 139; M_tot = 2.06 μB/cell; VASP energy = -7.273 eV/atom; crystal system = tetragonal
1.0
4.0535 0.0000 0.0000
0.0000 4.0535 0.0000
0.0000 0.0000 13.9603
La In O
4 2 4
direct
0.0000 0.0000 0.1645
0.0000 0.0000 0.8355
0.5000 0.5000 0.3355
0.5000 0.5000 0.6645
0.0000 0.0000 0.5000
0.5000 0.5000 0.0000
0.0000 0.5000 0.2500
0.0000 0.5000 0.7500
0.5000 0.0000 0.2500
0.5000 0.0000 0.7500